A relaxed structure of Fe5Ir5Rh2, computed with PBE.

a = 12.3686 Å, b = 4.3020 Å, c = 7.2327 Å
α = 90.00°, β = 122.22°, γ = 90.00°
Space group C2/m (No. 12)
Asymmetric unit:
Fe 0.0000 0.0000 0.0000 x2
Fe 0.0738 0.0000 0.3778 x4
Fe 0.2361 0.0000 0.2067 x4
Ir 0.0000 0.5000 0.5000 x2
Ir 0.0800 0.5000 0.9253 x4
Ir 0.1805 0.5000 0.3686 x4
Rh 0.1604 0.0000 0.7885 x4

Properties
Total DFT energy (no corrections) (eV per atom): -8.3863
Magnetic moment (μB/cell): 30.4